Record 1
Material: Sm7Tm3Mg
Method: DFT, GGA-PBE
State: optimized geometry

Calculated values
- V: 33.56 A^3/atom
- ΔH_f (0 K): 0.188 eV per atom
- Final energy: -4.18 eV/atom
- N(E_F): 14.5 states/eV per cell

```
data_Sm7Tm3Mg
_chemical_formula_sum 'Sm7 Tm3 Mg1'
_cell_length_a 7.0494
_cell_length_b 7.0494
_cell_length_c 8.5792
_cell_angle_alpha 90.00
_cell_angle_beta 90.00
_cell_angle_gamma 120.00
_space_group_name_H-M_alt 'P 3 m 1'
_space_group_IT_number 156
loop_
_space_group_symop_operation_xyz
'x,y,z'
'-y,x-y,z'
'-x+y,-x,z'
'-y,-x,z'
'-x+y,y,z'
'x,x-y,z'
loop_
_atom_site_label
_atom_site_fract_x
_atom_site_fract_y
_atom_site_fract_z
Sm1 0.0000 0.0000 0.0000
Sm2 0.1640 0.3280 0.6650
Sm3 0.5003 0.0006 0.0021
Tm1 0.3314 0.1657 0.3327
Mg1 0.6667 0.3333 0.6647
```


Record 2
Material: Pm2Sn3Rh4Pb
Method: DFT, GGA-PBE
State: optimized geometry

Calculated values
- V: 21.99 A^3/atom
- ΔH_f (0 K): -0.609 eV per atom
- Final energy: -6.07 eV/atom
- N(E_F): 6.1 states/eV per cell

```
data_Pm2Sn3Rh4Pb
_chemical_formula_sum 'Pm2 Sn3 Rh4 Pb1'
_cell_length_a 4.5033
_cell_length_b 4.5033
_cell_length_c 10.8439
_cell_angle_alpha 90.00
_cell_angle_beta 90.00
_cell_angle_gamma 90.00
_space_group_name_H-M_alt 'P -4 m 2'
_space_group_IT_number 115
loop_
_space_group_symop_operation_xyz
'x,y,z'
'y,-x,-z'
'-x,-y,z'
'-y,x,-z'
'-x,y,z'
'-y,-x,-z'
'x,-y,z'
'y,x,-z'
loop_
_atom_site_label
_atom_site_fract_x
_atom_site_fract_y
_atom_site_fract_z
Pm1 0.0000 0.5000 0.2454
Sn1 0.0000 0.5000 0.8724
Sn2 0.5000 0.5000 0.5000
Rh1 0.0000 0.0000 0.0000
Rh2 0.0000 0.5000 0.6369
Rh3 0.5000 0.5000 0.0000
Pb1 0.0000 0.0000 0.5000
```


Record 3
Material: Pr3Bi
Method: DFT, GGA-PBE
State: optimized geometry

Calculated values
- V: 32.01 A^3/atom
- ΔH_f (0 K): -0.447 eV per atom
- Final energy: -5.00 eV/atom
- N(E_F): 4.0 states/eV per cell

```
data_Pr3Bi
_chemical_formula_sum 'Pr3 Bi1'
_cell_length_a 5.0400
_cell_length_b 5.0400
_cell_length_c 5.0400
_cell_angle_alpha 90.00
_cell_angle_beta 90.00
_cell_angle_gamma 90.00
_space_group_name_H-M_alt 'P m -3 m'
_space_group_IT_number 221
_space_group_name_Hall '-P 4 2 3'
loop_
_atom_site_label
_atom_site_fract_x
_atom_site_fract_y
_atom_site_fract_z
Pr1 0.0000 0.0000 0.5000
Bi1 0.5000 0.5000 0.5000
```


Record 4
Material: LaMg3Te
Method: DFT, GGA-PBE
State: optimized geometry

Calculated values
- Formation energy without anion corrections: 0.232 eV per atom
- V: 33.31 A^3/atom
- Final energy: -2.34 eV/atom
- N(E_F): 5.3 states/eV per cell

```
data_LaMg3Te
_chemical_formula_sum 'La1 Mg3 Te1'
_cell_length_a 5.5020
_cell_length_b 5.5020
_cell_length_c 5.5020
_cell_angle_alpha 90.00
_cell_angle_beta 90.00
_cell_angle_gamma 90.00
_space_group_name_H-M_alt 'P m -3 m'
_space_group_IT_number 221
_space_group_name_Hall '-P 4 2 3'
loop_
_atom_site_label
_atom_site_fract_x
_atom_site_fract_y
_atom_site_fract_z
La1 0.0000 0.0000 0.0000
Mg1 0.0000 0.5000 0.5000
Te1 0.5000 0.5000 0.5000
```


Record 5
Material: ErTmZnRe
Method: DFT, GGA-PBE
State: optimized geometry

Calculated values
- V: 20.42 A^3/atom
- ΔH_f (0 K): -0.069 eV per atom
- Final energy: -5.76 eV/atom
- N(E_F): 10.2 states/eV per cell

```
data_ErTmZnRe
_chemical_formula_sum 'Er4 Tm4 Zn4 Re4'
_cell_length_a 6.8873
_cell_length_b 6.8873
_cell_length_c 6.8873
_cell_angle_alpha 90.00
_cell_angle_beta 90.00
_cell_angle_gamma 90.00
_space_group_name_H-M_alt 'F -4 3 m'
_space_group_IT_number 216
_space_group_name_Hall 'F -4 2 3'
loop_
_atom_site_label
_atom_site_fract_x
_atom_site_fract_y
_atom_site_fract_z
Er1 0.0000 0.0000 0.0000
Tm1 0.0000 0.0000 0.5000
Zn1 0.2500 0.2500 0.2500
Re1 0.2500 0.2500 0.7500
```


Record 6
Material: GeOsSeN2
Method: DFT, GGA-PBE
State: optimized geometry

Calculated values
- Formation energy without anion corrections: 1.751 eV per atom
- V: 17.80 A^3/atom
- Final energy: -5.45 eV/atom
- N(E_F): 4.3 states/eV per cell

```
data_GeOsSeN2
_chemical_formula_sum 'Ge1 Os1 Se1 N2'
_cell_length_a 3.6067
_cell_length_b 3.6067
_cell_length_c 6.8419
_cell_angle_alpha 90.00
_cell_angle_beta 90.00
_cell_angle_gamma 90.00
_space_group_name_H-M_alt 'P 4/m m m'
_space_group_IT_number 123
_space_group_name_Hall '-P 4 2'
loop_
_atom_site_label
_atom_site_fract_x
_atom_site_fract_y
_atom_site_fract_z
Ge1 0.0000 0.0000 0.0000
Os1 0.5000 0.5000 0.5000
Se1 0.0000 0.0000 0.5000
N1 0.0000 0.5000 0.0000
```


Record 7
Material: PtRhCl2
Method: DFT, GGA-PBE
State: optimized geometry

Calculated values
- Formation energy without anion corrections: 0.227 eV per atom
- V: 19.17 A^3/atom
- Final energy: -4.04 eV/atom
- N(E_F): 3.5 states/eV per cell

```
data_PtRhCl2
_chemical_formula_sum 'Pt1 Rh1 Cl2'
_cell_length_a 3.0956
_cell_length_b 3.0956
_cell_length_c 8.0034
_cell_angle_alpha 90.00
_cell_angle_beta 90.00
_cell_angle_gamma 90.00
_space_group_name_H-M_alt 'P 4 m m'
_space_group_IT_number 99
loop_
_space_group_symop_operation_xyz
'x,y,z'
'-y,x,z'
'-x,-y,z'
'y,-x,z'
'-x,y,z'
'y,x,z'
'x,-y,z'
'-y,-x,z'
loop_
_atom_site_label
_atom_site_fract_x
_atom_site_fract_y
_atom_site_fract_z
Pt1 0.0000 0.0000 0.0000
Rh1 0.5000 0.5000 0.1978
Cl1 0.0000 0.0000 0.3848
Cl2 0.5000 0.5000 0.7947
```


Record 8
Material: PmNdGd4
Method: DFT, GGA-PBE
State: optimized geometry

Calculated values
- V: 34.56 A^3/atom
- ΔH_f (0 K): 0.259 eV per atom
- Final energy: -10.71 eV/atom
- N(E_F): 60.4 states/eV per cell

```
data_PmNdGd4
_chemical_formula_sum 'Pm4 Nd4 Gd16'
_cell_length_a 9.3955
_cell_length_b 9.3955
_cell_length_c 9.3955
_cell_angle_alpha 90.00
_cell_angle_beta 90.00
_cell_angle_gamma 90.00
_space_group_name_H-M_alt 'F -4 3 m'
_space_group_IT_number 216
_space_group_name_Hall 'F -4 2 3'
loop_
_atom_site_label
_atom_site_fract_x
_atom_site_fract_y
_atom_site_fract_z
Pm1 0.0000 0.0000 0.0000
Nd1 0.2500 0.2500 0.7500
Gd1 0.1251 0.1251 0.3749
```


- What is the N(E_F) in the fourth record?
  5.3 states/eV per cell